Record 1
The following is a DFT calculation (PBE) of a relaxed MnC3I crystal.

Distance to the lowest polymorph of the same formula: 1.605 eV/atom
Final energy: -19.615 eV for the cell shown
E_form (uncorrected): 3.755 eV per atom

Lattice parameters (Å, degrees): 4.0724 4.0724 4.0724 90.00 90.00 90.00
Space group Pm-3m (No. 221)
Inequivalent atoms, fractional coordinates:
1 Mn 0.0000 0.0000 0.0000 (multiplicity 1)
2 C 0.0000 0.5000 0.5000 (multiplicity 3)
3 I 0.5000 0.5000 0.5000 (multiplicity 1)

---

Record 2
The following is a DFT calculation (PBE) of a relaxed NaGe2Mo crystal.

E_form: 0.15 eV/atom
Distance to the lowest polymorph of the same formula: 0.000 eV/atom
Final energy: -62.377 eV for the cell shown

Lattice parameters (Å, degrees): 3.0971 3.0971 28.8270 90.00 90.00 120.00
Space group R-3m (No. 166, hexagonal axes)
Inequivalent atoms, fractional coordinates:
1 Na 0.0000 0.0000 0.0000 (multiplicity 3)
2 Ge 0.0000 0.0000 0.0986 (multiplicity 6)
3 Mo 0.0000 0.0000 0.5000 (multiplicity 3)

---

Record 3
The following is a DFT calculation (PBE) of a relaxed Dy2Hg3Pb3 crystal.

E_form: -0.33 eV/atom
Final energy: -23.881 eV for the cell shown

Lattice parameters (Å, degrees): 4.7400 4.7991 9.2390 90.00 90.00 90.00
Space group Pmmm (No. 47)
Inequivalent atoms, fractional coordinates:
1 Dy 0.0000 0.0000 0.2475 (multiplicity 2)
2 Hg 0.0000 0.5000 0.0000 (multiplicity 1)
3 Hg 0.5000 0.5000 0.2420 (multiplicity 2)
4 Pb 0.0000 0.5000 0.5000 (multiplicity 1)
5 Pb 0.5000 0.0000 0.0000 (multiplicity 1)
6 Pb 0.5000 0.0000 0.5000 (multiplicity 1)

---

Record 4
The following is a DFT calculation (PBE) of a relaxed TmAlCo crystal.

E_form: -0.14 eV/atom
Final energy: -63.006 eV for the cell shown

Lattice parameters (Å, degrees): 6.4070 6.4070 5.9177 90.00 90.00 90.00
Space group P4_12_12 (No. 92)
Inequivalent atoms, fractional coordinates:
1 Tm 0.2499 0.2499 0.0000 (multiplicity 4)
2 Al 0.1989 0.1989 0.5000 (multiplicity 4)
3 Co 0.0456 0.9544 0.7500 (multiplicity 4)

---

Record 5
The following is a DFT calculation (PBE) of a relaxed SrSc2Cl crystal.

Distance to the lowest polymorph of the same formula: 0.742 eV/atom
Final energy: -62.129 eV for the cell shown
E_form (uncorrected): 0.165 eV per atom

Lattice parameters (Å, degrees): 7.8450 7.8450 7.8450 90.00 90.00 90.00
Space group F-43m (No. 216)
Inequivalent atoms, fractional coordinates:
1 Sr 0.0000 0.0000 0.0000 (multiplicity 4)
2 Sc 0.0000 0.0000 0.5000 (multiplicity 4)
3 Sc 0.2500 0.2500 0.7500 (multiplicity 4)
4 Cl 0.2500 0.2500 0.2500 (multiplicity 4)

---

Record 6
The following is a DFT calculation (PBE) of a relaxed RbGaS2Cl crystal.

Distance to the lowest polymorph of the same formula: 0.000 eV/atom
Final energy: -17.351 eV for the cell shown
E_form (uncorrected): -0.651 eV per atom

Lattice parameters (Å, degrees): 4.7398 4.7398 5.5470 90.00 90.00 90.00
Space group P4/mmm (No. 123)
Inequivalent atoms, fractional coordinates:
1 Rb 0.0000 0.0000 0.0000 (multiplicity 1)
2 Ga 0.5000 0.5000 0.5000 (multiplicity 1)
3 S 0.0000 0.5000 0.5000 (multiplicity 2)
4 Cl 0.5000 0.5000 0.0000 (multiplicity 1)

---

> What is the final energy in the first record?

-19.615 eV for the cell shown